[1]
Computed, not measured: an optimized crystal structure of ThTlW at the PBE-GGA level of DFT.

Symmetry: F-43m (216)
Total magnetic moment: 0.0 μB/f.u.
Uncorrected energy: -0.492 Ry per atom

a b c (Å): 4.850 4.850 4.850
angles (deg): 60.00 60.00 60.00
Element x y z (fractional)
W (0.000, 0.000, 0.000)
Tl (0.750, 0.750, 0.750)
Th (0.250, 0.250, 0.250)

[2]
Computed, not measured: an optimized crystal structure of ThTlZn at the PBE-GGA level of DFT.

Symmetry: F-43m (216)
Total magnetic moment: 0.0 μB/f.u.
Uncorrected energy: -0.273 Ry per atom

a b c (Å): 4.836 4.836 4.836
angles (deg): 60.00 60.00 60.00
Element x y z (fractional)
Tl (0.750, 0.750, 0.750)
Th (0.250, 0.250, 0.250)
Zn (0.000, 0.000, 0.000)